This record from the Alexandria database describes an optimized crystal structure of HfTl3Sb. The functional is PBE.

Cell and atoms, written as POSCAR:
```
HfTl3Sb
1.0
5.638 0.000 0.000
0.000 5.638 0.000
0.000 0.000 5.638
Hf Tl Sb
1 3 1
direct
0.000 0.000 0.000 Hf
0.000 0.000 0.500 Tl
0.000 0.500 0.000 Tl
0.500 0.000 0.000 Tl
0.500 0.500 0.500 Sb
```

Calculated values
DFT total energy	-0.261	Ry per atom
crystal system	cubic
ΔE to the lowest computed polymorph	0	meV per atom
formation energy without anion corrections	3.4	eV per formula unit
M_tot	0.00	μB per formula unit

---

This record from the Alexandria database describes an optimized crystal structure of Sr3Ga3Hg. The functional is PBE.

Cell and atoms, written as POSCAR:
```
Sr3Ga3Hg
1.0
5.776 -2.414 0.000
5.776 2.414 0.000
-5.647 0.000 14.799
Sr Ga Hg
6 6 2
direct
0.046 0.046 0.383 Sr
0.109 0.109 0.925 Sr
0.248 0.248 0.228 Sr
0.752 0.752 0.772 Sr
0.891 0.891 0.075 Sr
0.954 0.954 0.617 Sr
0.378 0.378 0.460 Ga
0.406 0.406 0.923 Ga
0.460 0.460 0.775 Ga
0.540 0.540 0.225 Ga
0.594 0.594 0.077 Ga
0.622 0.622 0.540 Ga
0.247 0.247 0.609 Hg
0.753 0.753 0.391 Hg
```

Calculated values
DFT total energy	-0.183	Ry per atom
crystal system	monoclinic
M_tot	0.00	μB per formula unit
ΔH_f (0 K)	-0.433	eV per atom

---

This record from the Alexandria database describes an optimized crystal structure of Y2LuBe. The functional is PBE.

Cell and atoms, written as POSCAR:
```
Y2LuBe
1.0
3.466 0.000 0.000
0.000 3.466 0.000
0.000 0.000 8.514
Y Lu Be
2 1 1
direct
0.000 0.000 0.195 Y
0.000 0.000 0.805 Y
0.500 0.500 0.500 Lu
0.500 0.500 0.000 Be
```

Calculated values
DFT total energy	-0.384	Ry per atom
crystal system	tetragonal
M_tot	0.00	μB per formula unit
ΔH_f (0 K)	0.071	eV per atom